Density functional theory data (GGA-PBEsol) for crystalline NiMo2Rh at its relaxed geometry.

Unit cell a=4.700 b=4.700 c=4.700 alpha=133.25 beta=133.25 gamma=68.26
Positions (direct):
Ni 0.000 0.000 0.000
Mo 0.250 0.750 0.500
Mo 0.750 0.250 0.500
Rh 0.500 0.500 0.000

Values from the calculation:
size of the total moment	0.00	μB per atom
energy above the most stable polymorph in this dataset	32	meV per atom
DOS(E_F)	3.32	states/eV/cell
formation enthalpy at 0 K	-84	meV per atom



Density functional theory data (GGA-PBEsol) for crystalline Ga3PdRu at its relaxed geometry.

Unit cell a=4.596 b=4.596 c=4.596 alpha=90.00 beta=90.00 gamma=90.00
Positions (direct):
Ga 0.000 0.000 0.500
Ga 0.000 0.500 0.000
Ga 0.500 0.000 0.000
Pd 0.000 0.000 0.000
Ru 0.500 0.500 0.500

Values from the calculation:
size of the total moment	0.40	μB per atom
DOS(E_F)	6.16	states/eV/cell
formation enthalpy at 0 K	714	meV per atom



Density functional theory data (GGA-PBEsol) for crystalline Rb2CuCl at its relaxed geometry.

Unit cell a=5.622 b=5.622 c=5.622 alpha=60.00 beta=60.00 gamma=60.00
Positions (direct):
Rb 0.250 0.250 0.250
Rb 0.750 0.750 0.750
Cu 0.000 0.000 0.000
Cl 0.500 0.500 0.500

Values from the calculation:
size of the total moment	0.02	μB per atom
DOS(E_F)	0.00	states/eV/cell
raw formation energy	-553	meV per atom



Density functional theory data (GGA-PBEsol) for crystalline Cu4SbAu at its relaxed geometry.

Unit cell a=4.924 b=4.924 c=4.924 alpha=60.00 beta=60.00 gamma=60.00
Positions (direct):
Cu 0.125 0.125 0.125
Cu 0.125 0.125 0.624
Cu 0.125 0.624 0.125
Cu 0.624 0.125 0.125
Sb 0.750 0.750 0.750
Au 0.500 0.500 0.500

Values from the calculation:
size of the total moment	0.00	μB per atom
DOS(E_F)	1.10	states/eV/cell
raw formation energy	33	meV per atom



Density functional theory data (GGA-PBEsol) for crystalline Ca3ReO6 at its relaxed geometry.

Unit cell a=5.499 b=5.798 c=9.660 alpha=90.00 beta=124.57 gamma=90.00
Positions (direct):
Ca 0.000 0.000 0.000
Ca 0.000 0.500 0.500
Ca 0.226 0.061 0.744
Ca 0.226 0.439 0.244
Ca 0.774 0.561 0.756
Ca 0.774 0.939 0.256
Re 0.500 0.000 0.500
Re 0.500 0.500 0.000
O 0.163 0.177 0.449
O 0.163 0.323 0.949
O 0.260 0.724 0.429
O 0.260 0.776 0.929
O 0.389 0.052 0.274
O 0.389 0.448 0.774
O 0.611 0.552 0.226
O 0.611 0.948 0.726
O 0.740 0.224 0.071
O 0.740 0.276 0.571
O 0.837 0.677 0.051
O 0.837 0.823 0.551

Values from the calculation:
size of the total moment	0.10	μB per atom
DOS(E_F)	8.31	states/eV/cell
raw formation energy	-2537	meV per atom



Density functional theory data (GGA-PBEsol) for crystalline Ni2RhW at its relaxed geometry.

Unit cell a=4.530 b=4.530 c=4.530 alpha=132.54 beta=132.54 gamma=69.39
Positions (direct):
Ni 0.000 0.000 0.000
Ni 0.750 0.250 0.500
Rh 0.250 0.750 0.500
W 0.500 0.500 0.000

Values from the calculation:
size of the total moment	0.00	μB per atom
energy above the most stable polymorph in this dataset	0	meV per atom
DOS(E_F)	2.72	states/eV/cell
formation enthalpy at 0 K	-176	meV per atom



Question: size of the total moment of number 2 (Ga3PdRu)?
Answer: 0.40 μB per atom



Question: What is the DOS(E_F) in the third record?
Answer: 0.00 states/eV/cell



Question: Which value of DOS(E_F) does entry 6 give?
Answer: 2.72 states/eV/cell